Record 1
Density functional theory data (GGA-PBEsol) for a relaxed CsRb2Cd2 crystal.

Summary:
magnetic moment = 0.00 μB/f.u.
formation energy from the elements = 0.916 eV/f.u.
relative energy among the computed polymorphs = 0.689 eV per formula unit
space group = No. 139
volume = 282 Å³/cell
VASP energy = -0.066 Ry per atom
N(E_F) = 3.46 states/eV/cell

Geometry as POSCAR:
```
CsRb2Cd2
1.0
-3.259 3.259 6.638
3.259 -3.259 6.638
3.259 3.259 -6.638
Cs Rb Cd
1 2 2
direct
0.000 0.000 0.000
0.353 0.353 0.000
0.647 0.647 0.000
0.250 0.750 0.500
0.750 0.250 0.500
```



Record 2
Density functional theory data (GGA-PBEsol) for a relaxed ZnCu2Mo crystal.

Summary:
magnetic moment = 0.00 μB/f.u.
formation energy from the elements = 0.871 eV/f.u.
space group = No. 44
volume = 52 Å³/cell
VASP energy = -0.389 Ry per atom
N(E_F) = 2.45 states/eV/cell

Geometry as POSCAR:
```
ZnCu2Mo
1.0
-1.278 2.260 4.507
1.278 -2.260 4.507
1.278 2.260 -4.507
Zn Cu Mo
1 2 1
direct
0.000 0.000 0.000
0.238 0.738 0.500
0.471 0.471 0.000
0.732 0.232 0.500
```



Record 3
Density functional theory data (GGA-PBEsol) for a relaxed TlSbSeI2 crystal.

Summary:
ΔE_f (raw) = 172.9 meV/atom
magnetic moment = 0.00 μB/f.u.
space group = No. 123
volume = 177 Å³/cell
VASP energy = -0.201 Ry per atom
N(E_F) = 4.24 states/eV/cell

Geometry as POSCAR:
```
TlSbSeI2
1.0
5.674 0.000 0.000
0.000 5.674 0.000
0.000 0.000 5.491
Tl Sb Se I
1 1 1 2
direct
0.000 0.000 0.000
0.500 0.500 0.000
0.500 0.500 0.500
0.000 0.500 0.500
0.500 0.000 0.500
```



Record 4
Density functional theory data (GGA-PBEsol) for a relaxed Ba2CaY crystal.

Summary:
magnetic moment = 0.00 μB/f.u.
formation energy from the elements = 0.744 eV/f.u.
space group = No. 12
volume = 173 Å³/cell
VASP energy = -0.230 Ry per atom
N(E_F) = 4.04 states/eV/cell

Geometry as POSCAR:
```
Ba2CaY
1.0
3.831 -6.264 0.000
3.831 6.264 0.000
-1.198 0.000 3.603
Ba Ca Y
2 1 1
direct
0.000 0.500 0.000
0.500 0.000 0.000
0.000 0.000 0.500
0.500 0.500 0.500
```



Record 5
Density functional theory data (GGA-PBEsol) for a relaxed TcMo crystal.

Summary:
magnetic moment = 0.00 μB/f.u.
formation energy from the elements = 0.209 eV/f.u.
relative energy among the computed polymorphs = 0.035 eV per formula unit
space group = No. 129
volume = 59 Å³/cell
VASP energy = -0.839 Ry per atom
N(E_F) = 3.73 states/eV/cell

Geometry as POSCAR:
```
TcMo
1.0
3.087 0.000 0.000
0.000 3.087 0.000
0.000 0.000 6.200
Tc Mo
2 2
direct
0.250 0.250 0.139
0.750 0.750 0.861
0.250 0.250 0.632
0.750 0.750 0.368
```



Record 6
Density functional theory data (GGA-PBEsol) for a relaxed Sb2Pt2I crystal.

Summary:
ΔE_f (raw) = -301.0 meV/atom
magnetic moment = 0.00 μB/f.u.
space group = No. 139
volume = 124 Å³/cell
VASP energy = -0.387 Ry per atom
N(E_F) = 1.20 states/eV/cell

Geometry as POSCAR:
```
Sb2Pt2I
1.0
-1.955 1.955 8.079
1.955 -1.955 8.079
1.955 1.955 -8.079
Sb Pt I
2 2 1
direct
0.137 0.137 0.000
0.863 0.863 0.000
0.250 0.750 0.500
0.750 0.250 0.500
0.500 0.500 0.000
```



Question: What is the volume in the fifth record?
Answer: 59 Å³/cell



What did the sixth record say?
Density functional theory data (GGA-PBEsol) for a relaxed Sb2Pt2I crystal.

Summary:
ΔE_f (raw) = -301.0 meV/atom
magnetic moment = 0.00 μB/f.u.
space group = No. 139
volume = 124 Å³/cell
VASP energy = -0.387 Ry per atom
N(E_F) = 1.20 states/eV/cell

Geometry as POSCAR:
```
Sb2Pt2I
1.0
-1.955 1.955 8.079
1.955 -1.955 8.079
1.955 1.955 -8.079
Sb Pt I
2 2 1
direct
0.137 0.137 0.000
0.863 0.863 0.000
0.250 0.750 0.500
0.750 0.250 0.500
0.500 0.500 0.000
```